## a
{"formula": "BSb2AsI", "functional": "PBE-GGA", "state": "relaxed", "lattice": [[-3.064, 4.351, 0.991], [-4.462, -3.003, -0.608], [0.064, -1.214, 5.527]], "species": ["As", "B", "Sb", "Sb", "I"], "frac_coords": [[0.000, 0.000, 0.000], [0.500, 0.500, 0.500], [0.500, 0.000, 0.000], [0.000, 0.500, 0.000], [0.000, 0.000, 0.500]], "sg": "P4/mmm (123)"}

## b
{"formula": "BSb2AsI", "functional": "PBE-GGA", "state": "relaxed", "lattice": [[-3.955, 1.560, -2.604], [-2.617, 0.415, 4.223], [1.457, 4.468, 0.464]], "species": ["Sb", "Sb", "I", "As", "B"], "frac_coords": [[0.500, 0.000, 0.000], [0.000, 0.500, 0.000], [0.000, 0.000, 0.500], [0.500, 0.500, 0.500], [0.000, 0.000, 0.000]], "sg": "P4/mmm (123)"}

So which one is most stable? That would be b, about 0.609 eV/atom below the next structure.

## a
{"formula": "BAsSe2I", "functional": "PBE-GGA", "state": "relaxed", "lattice": [[5.398, 0.000, 0.000], [0.000, 5.398, 0.000], [0.000, 0.000, 5.489]], "species": ["B", "Se", "Se", "As", "I"], "frac_coords": [[0.500, 0.500, 0.500], [0.000, 0.500, 0.000], [0.500, 0.000, 0.000], [0.000, 0.000, 0.500], [0.000, 0.000, 0.000]], "sg": "P4/mmm (123)"}

## b
{"formula": "BAsSe2I", "functional": "PBE-GGA", "state": "relaxed", "lattice": [[-4.513, -0.546, 2.018], [2.480, -1.372, 5.177], [-0.010, 4.807, 1.278]], "species": ["As", "Se", "Se", "B", "I"], "frac_coords": [[0.000, 0.000, 0.000], [0.500, 0.000, 0.000], [0.000, 0.000, 0.500], [0.500, 0.500, 0.500], [0.000, 0.500, 0.000]], "sg": "P4/mmm (123)"}

## c
{"formula": "BAsSe2I", "functional": "PBE-GGA", "state": "relaxed", "lattice": [[4.407, 0.000, 0.000], [0.000, 4.407, 0.000], [0.000, 0.000, 5.300]], "species": ["I", "Se", "Se", "B", "As"], "frac_coords": [[0.500, 0.500, 0.500], [0.000, 0.500, 0.000], [0.500, 0.000, 0.000], [0.000, 0.000, 0.000], [0.000, 0.000, 0.500]], "sg": "P4/mmm (123)"}

So which one is most stable? That would be c, about 0.452 eV/atom below the next structure.

## a
{"formula": "InBAs3", "functional": "PBE-GGA", "state": "relaxed", "lattice": [[-1.825, 3.866, 1.524], [1.387, -1.002, 4.204], [3.917, 2.156, -0.779]], "species": ["In", "B", "As", "As", "As"], "frac_coords": [[0.500, 0.500, 0.500], [0.000, 0.000, 0.000], [0.000, 0.000, 0.500], [0.500, 0.000, 0.000], [0.000, 0.500, 0.000]], "sg": "Pm-3m (221)"}

## b
{"formula": "InBAs3", "functional": "PBE-GGA", "state": "relaxed", "lattice": [[5.232, 0.000, 0.000], [0.000, 5.232, 0.000], [0.000, 0.000, 5.232]], "species": ["As", "As", "As", "B", "In"], "frac_coords": [[0.000, 0.000, 0.500], [0.000, 0.500, 0.000], [0.500, 0.000, 0.000], [0.500, 0.500, 0.500], [0.000, 0.000, 0.000]], "sg": "Pm-3m (221)"}

So which one is most stable? That would be a, about 1.135 eV/atom below the next structure.